The following is a PBE calculation of a relaxed Pa2Ir2Rh crystal, from the Alexandria database.

Geometry as POSCAR:
```
Pa2Ir2Rh
1.0
4.413 0.000 0.000
-2.206 3.821 0.000
0.000 0.000 12.156
Pa Ir Rh
4 4 2
Cartesian
0.000 2.548 7.413 Pa
2.206 1.274 1.335 Pa
2.206 1.274 4.743 Pa
0.000 2.548 10.821 Pa
2.206 1.274 9.117 Ir
0.000 0.000 0.000 Ir
0.000 0.000 6.078 Ir
0.000 2.548 3.039 Ir
0.000 0.000 3.039 Rh
0.000 0.000 9.117 Rh
```

SG = P6_3/mmc, No. 194
Total magnetic moment = 0.0 μB/f.u.
Raw total energy = -9.413 eV/atom
ρ = 15.382 g cm⁻³
Energy of formation from the pure elements = -600 meV/atom
D(E_F) = 16.3 states/eV per cell